No. 1
The following is a DFT calculation (PBE) of Li3CeAu3 after structural relaxation.

Results
Symmetry: No. 223
Energy of formation from the pure elements in eV per atom: -0.1464

Cell lengths 6.7779, 6.7779, 6.7779 Å; angles 90.00, 90.00, 90.00 degrees
Fractional coordinates of all 14 atoms:
Au 0.2500 0.5000 0.0000
Au 0.5000 0.0000 0.2500
Au 0.5000 0.0000 0.7500
Au 0.7500 0.5000 0.0000
Au 0.0000 0.2500 0.5000
Au 0.0000 0.7500 0.5000
Ce 0.5000 0.5000 0.5000
Ce 0.0000 0.0000 0.0000
Li 0.0000 0.5000 0.2500
Li 0.5000 0.2500 0.0000
Li 0.0000 0.5000 0.7500
Li 0.2500 0.0000 0.5000
Li 0.7500 0.0000 0.5000
Li 0.5000 0.7500 0.0000

No. 2
The following is a DFT calculation (PBE) of Li2CeAu9 after structural relaxation.

Results
Symmetry: No. 141
Energy of formation from the pure elements in eV per atom: -0.3733

Cell lengths 7.3102, 8.6861, 8.6861 Å; angles 79.80, 65.11, 65.11 degrees
Fractional coordinates of all 24 atoms:
Au 0.0738 0.9254 0.3186
Au 0.0000 0.0000 0.0000
Au 0.6076 0.3186 0.0746
Au 0.4322 0.4254 0.8186
Au 0.7500 0.5000 0.5000
Au 0.7492 0.8186 0.5746
Au 0.3178 0.0746 0.6814
Au 0.4322 0.8186 0.4254
Au 0.3178 0.6814 0.0746
Au 0.1424 0.4254 0.1814
Au 0.6762 0.5746 0.1814
Au 0.6076 0.0746 0.3186
Au 0.1424 0.1814 0.4254
Au 0.7492 0.5746 0.8186
Au 0.0008 0.6814 0.9254
Au 0.6762 0.1814 0.5746
Au 0.0008 0.9254 0.6814
Au 0.0738 0.3186 0.9254
Li 0.8750 0.2500 0.2500
Li 0.8750 0.2500 0.7500
Li 0.8750 0.7500 0.2500
Li 0.3750 0.7500 0.7500
Ce 0.5000 0.0000 0.0000
Ce 0.2500 0.5000 0.5000

No. 3
The following is a DFT calculation (PBE) of Li2CeAu2 after structural relaxation.

Results
Symmetry: No. 164
Energy of formation from the pure elements in eV per atom: -0.4038
Excess energy over the best structure of this formula in the dataset in meV per atom: 132

Cell lengths 5.0396, 5.0396, 5.2813 Å; angles 90.00, 90.00, 120.00 degrees
Fractional coordinates of all 5 atoms:
Li 0.3333 0.6667 0.6272
Li 0.6667 0.3333 0.3728
Au 0.6667 0.3333 0.8622
Au 0.3333 0.6667 0.1378
Ce 0.0000 0.0000 0.0000

Question: The highest energy of formation from the pure elements belongs to which entry?
Answer: Li3CeAu3